Entry 1:
The following is a DFT calculation (PBE-GGA) of a relaxed structure of DyPaIrPd.

Lattice parameters (Å, degrees): 4.109 6.046 6.046 36.14 90.00 90.00
Sites, in units of the cell vectors:
Dy1 0.000 0.000 0.000
Pa1 0.500 0.725 0.725
Ir1 0.000 0.253 0.253
Pd1 0.500 0.438 0.438

Output
The raw total energy is -0.5817 Ry/atom. The energy of formation from the pure elements is -877 meV per atom.

Entry 2:
The following is a DFT calculation (PBE-GGA) of a relaxed structure of DyPaIrPd.

Lattice parameters (Å, degrees): 4.921 4.921 4.921 60.00 60.00 60.00
Sites, in units of the cell vectors:
Dy1 0.000 0.000 0.000
Pa1 0.500 0.500 0.500
Ir1 0.750 0.750 0.750
Pd1 0.250 0.250 0.250

Output
The raw total energy is -0.5657 Ry/atom. The energy of formation from the pure elements is -659 meV per atom.

Entry 3:
The following is a DFT calculation (PBE-GGA) of a relaxed structure of DyPaIrRu.

Lattice parameters (Å, degrees): 4.858 4.858 4.858 60.00 60.00 60.00
Sites, in units of the cell vectors:
Dy1 0.000 0.000 0.000
Pa1 0.500 0.500 0.500
Ir1 0.250 0.250 0.250
Ru1 0.750 0.750 0.750

Output
The raw total energy is -0.6329 Ry/atom. The energy of formation from the pure elements is -552 meV per atom.

Entry 4:
The following is a DFT calculation (PBE-GGA) of a relaxed structure of DyPaIrSe.

Lattice parameters (Å, degrees): 7.605 7.605 7.605 30.23 30.23 30.23
Sites, in units of the cell vectors:
Dy1 0.000 0.000 0.000
Pa1 0.186 0.186 0.186
Ir1 0.587 0.587 0.587
Se1 0.760 0.760 0.760

Output
The raw total energy is -0.5683 Ry/atom. The calculation puts the energy relative to the elements, uncorrected at -1.122 eV per atom.

Entry 5:
The following is a DFT calculation (PBE-GGA) of a relaxed structure of DyPaTcIr.

Lattice parameters (Å, degrees): 4.866 4.866 4.866 60.00 60.00 60.00
Sites, in units of the cell vectors:
Dy1 0.000 0.000 0.000
Pa1 0.500 0.500 0.500
Tc1 0.750 0.750 0.750
Ir1 0.250 0.250 0.250

Output
The raw total energy is -0.6439 Ry/atom. The energy of formation from the pure elements is -430 meV per atom.

Entry 6:
The following is a DFT calculation (PBE-GGA) of a relaxed structure of DyPaTeIr.

Lattice parameters (Å, degrees): 7.864 7.864 7.864 29.98 29.98 29.98
Sites, in units of the cell vectors:
Dy1 0.000 0.000 0.000
Pa1 0.803 0.803 0.803
Te1 0.235 0.235 0.235
Ir1 0.408 0.408 0.408

Output
The raw total energy is -0.5493 Ry/atom. The calculation puts the energy relative to the elements, uncorrected at -0.948 eV per atom.

Entry 7:
The following is a DFT calculation (PBE-GGA) of a relaxed structure of DyThPa2Ir4.

Lattice parameters (Å, degrees): 7.004 5.699 6.804 67.48 48.73 63.80
Sites, in units of the cell vectors:
Dy1 0.000 0.000 0.000
Th1 0.576 0.576 0.424
Pa1 0.339 0.339 0.161
Pa2 0.839 0.839 0.661
Ir1 0.091 0.495 0.909
Ir2 0.331 0.851 0.149
Ir3 0.495 0.091 0.505
Ir4 0.851 0.331 0.669

Output
The raw total energy is -0.6724 Ry/atom. The energy of formation from the pure elements is -842 meV per atom.

Entry 8:
The following is a DFT calculation (PBE-GGA) of a relaxed structure of Dy12Ir6Pb.

Lattice parameters (Å, degrees): 8.623 8.623 8.623 109.47 109.47 109.47
Sites, in units of the cell vectors:
Dy1 0.105 0.300 0.805
Dy2 0.195 0.495 0.300
Dy3 0.195 0.895 0.700
Dy4 0.300 0.195 0.495
Dy5 0.300 0.805 0.105
Dy6 0.495 0.300 0.195
Dy7 0.505 0.700 0.805
Dy8 0.700 0.195 0.895
Dy9 0.700 0.805 0.505
Dy10 0.805 0.105 0.300
Dy11 0.805 0.505 0.700
Dy12 0.895 0.700 0.195
Ir1 0.125 0.500 0.625
Ir2 0.375 0.875 0.500
Ir3 0.500 0.375 0.875
Ir4 0.500 0.625 0.125
Ir5 0.625 0.125 0.500
Ir6 0.875 0.500 0.375
Pb1 0.000 0.000 0.000

Output
The raw total energy is -0.4793 Ry/atom. The energy of formation from the pure elements is -622 meV per atom.